(1)
Here is a relaxed SrTcSe crystal from the Alexandria database. Energies are from PBE.

* raw formation energy: 0.882 eV per atom

Structure (extended XYZ):
```
3
Lattice="5.1015 0.0000 0.0000 2.5508 4.4180 0.0000 2.5508 1.4727 4.1654" Properties=species:S:1:pos:R:3 pbc="T T T"
Sr 2.5508 1.4727 1.0413
Tc 0.0000 0.0000 0.0000
Se 5.1015 2.9454 2.0827
```

=====

(2)
Here is a relaxed LiEr2Au6 crystal from the Alexandria database. Energies are from PBE.

* E_form: -634 meV per atom

Structure (extended XYZ):
```
18
Lattice="5.1709 0.1591 0.5470 0.6925 8.1416 2.3580 0.2974 -0.1287 8.4983" Properties=species:S:1:pos:R:3 pbc="T T T"
Er 5.4925 6.4904 6.9425
Er 2.8087 4.3531 8.1968
Er 3.3521 3.8189 3.2065
Er 0.6683 1.6816 4.4608
Au 5.2154 5.3895 9.7201
Au 5.5677 3.4345 7.4796
Au 0.5931 4.7376 3.9237
Au 3.9114 1.8079 9.2966
Au 3.4337 0.8306 3.4650
Au 3.0646 2.4319 5.9682
Au 2.7270 7.3415 7.9383
Au 4.5329 0.1258 7.0710
Au 2.2493 6.3642 2.1067
Au 0.9454 2.7825 1.6832
Au 3.0962 5.7401 5.4351
Au 1.6279 8.0462 4.3323
Li 4.5229 7.2600 3.5114
Li 1.6379 0.9120 7.8919
```

=====

(3)
Here is a relaxed Co2ReAu crystal from the Alexandria database. Energies are from PBE.

* E_form: 152 meV per atom

Structure (extended XYZ):
```
4
Lattice="2.7003 0.0000 0.0000 0.0000 2.7003 0.0000 0.0000 0.0000 7.4009" Properties=species:S:1:pos:R:3 pbc="T T T"
Au 1.3501 1.3501 5.5507
Co 0.0000 0.0000 0.1559
Co 0.0000 0.0000 3.5446
Re 1.3501 1.3501 1.8502
```

=====

(4)
Here is a relaxed CaNbCl2 crystal from the Alexandria database. Energies are from PBE.

* raw formation energy: -0.309 eV per atom

Structure (extended XYZ):
```
4
Lattice="2.8373 -3.7344 0.7261 0.9142 -1.4613 4.4218 -1.8191 -4.0923 1.5705" Properties=species:S:1:pos:R:3 pbc="T T T"
Nb 0.9661 -4.6440 3.3592
Cl 0.4831 -2.3220 1.6796
Cl 1.4492 -6.9660 5.0388
Ca 0.0000 0.0000 0.0000
```

=====

Number 1: theoretical density 4.68 g/cm3, electronic total energy -12.89 eV/cell. Number 2: theoretical density 14.16 g/cm3, electronic total energy -72.83 eV/cell. Number 3: theoretical density 15.42 g/cm3, electronic total energy -29.33 eV/cell. Number 4: theoretical density 4.48 g/cm3, electronic total energy -17.00 eV/cell.